DFT (PBE-GGA) results for a relaxed structure of Rb2Tc2Br.

Computed properties:
energy relative to the elements, uncorrected: 856 meV per atom
calculated total energy: -4.012 eV/atom
energy relative to the lowest polymorph listed for this composition: 0.7803 eV/atom

abc: 10.473 10.473 3.155
angles: 90.00 90.00 90.00
Space group P4/mbm (No. 127)
Unique sites:
Rb1 0.208 0.292 0.000 (multiplicity 4)
Tc1 0.070 0.570 0.500 (multiplicity 4)
Br1 0.000 0.000 0.000 (multiplicity 2)